NpGa5Fe at its PBEsol-relaxed geometry. Source: the Alexandria database, functional meta-GGA SCAN.

Lattice parameters (Å, degrees): 4.203 4.203 6.576 90.00 90.00 90.00
Fractional coordinates of all 7 atoms:
Ga1 0.000 0.500 0.307
Ga2 0.500 0.000 0.693
Ga3 0.500 0.000 0.307
Ga4 0.500 0.500 0.000
Ga5 0.000 0.500 0.693
Fe1 0.000 0.000 0.500
Np1 0.000 0.000 0.000

**V**: 16.6 Å³/atom
**Energy of formation**: -0.183 eV/atom
**SG**: P4/mmm